Run P
## HfAgAu (PBE)

Data for a relaxed HfAgAu crystal.

abc: 3.558 3.558 8.856
angles: 90.00 90.00 90.00
Each line ends with the local moment (μB).
Sites, in units of the cell vectors:
Au: 0.000 0.500 0.087  0.01
Au: 0.500 0.000 0.913  0.01
Hf: 0.000 0.500 0.756  0.08
Hf: 0.500 0.000 0.244  0.08
Ag: 0.000 0.500 0.423  0.00
Ag: 0.500 0.000 0.577  0.00

Run Q
## HfAgAu (PBE)

Data for a relaxed HfAgAu crystal.

abc: 4.554 4.554 4.554
angles: 60.00 60.00 60.00
Sites, in units of the cell vectors:
Hf: 0.000 0.000 0.000
Ag: 0.250 0.250 0.250
Au: 0.750 0.750 0.750

Run R
## HfAgAu (PBE)

Data for a relaxed HfAgAu crystal.

abc: 4.522 4.522 4.522
angles: 60.00 60.00 60.00
Sites, in units of the cell vectors:
Ag: 0.250 0.250 0.250
Hf: 0.750 0.750 0.750
Au: 0.000 0.000 0.000

The data favor run P; the next most stable structure lies 0.304 eV/atom above it.